The following is a DFT calculation (PBE) of a geometry-optimized CeY4Er structure.

a = 8.420 Å, b = 8.420 Å, c = 5.561 Å
α = 90.00°, β = 90.00°, γ = 102.66°
Fractional positions:
Ce: 0.182 0.818 0.750
Ce: 0.818 0.182 0.250
Y: 0.100 0.231 0.750
Y: 0.159 0.505 0.250
Y: 0.231 0.100 0.250
Y: 0.495 0.841 0.250
Y: 0.505 0.159 0.750
Y: 0.769 0.900 0.750
Y: 0.841 0.495 0.750
Y: 0.900 0.769 0.250
Er: 0.437 0.563 0.750
Er: 0.563 0.437 0.250

Results
Theoretical density, Mg/m³: 5.72
Energy, eV/atom: -5.981
Energy of formation, kJ/mol of formula units: 45
SG: Cmcm
ΔE to the lowest computed polymorph, eV/atom: 0.000